# AcTlAsCl

A relaxed AcTlAsCl crystal (PBE, Alexandria).

a = 5.3930 Å, b = 5.3930 Å, c = 5.3930 Å
α = 60.00°, β = 60.00°, γ = 60.00°
Atoms (fractional coordinates):
1 As 0.5000 0.5000 0.5000
2 Ac 0.7500 0.7500 0.7500
3 Tl 0.2500 0.2500 0.2500
4 Cl 0.0000 0.0000 0.0000

Summary:
Total moment (Bohr magnetons per cell): 0.0
DFT total energy (eV per atom): -4.3354
Formation energy (no corrections) (eV per atom): -1.093

***

# YAlSe3

A relaxed YAlSe3 crystal (PBE, Alexandria).

a = 7.4136 Å, b = 11.1043 Å, c = 3.9224 Å
α = 110.68°, β = 90.00°, γ = 105.30°
Atoms (fractional coordinates):
1 Y 0.7388 0.3174 0.6284
2 Y 0.7292 0.9442 0.2552
3 Al 0.9363 0.5965 0.4076
4 Al 0.3022 0.9511 0.7620
5 Se 0.9633 0.8381 0.6491
6 Se 0.0879 0.5321 0.8432
7 Se 0.3781 0.0957 0.4066
8 Se 0.8603 0.1571 0.9682
9 Se 0.4763 0.7942 0.6051
10 Se 0.6124 0.4665 0.2775

Summary:
Relative energy among the computed polymorphs (eV per atom): 0.000
Total moment (Bohr magnetons per cell): 0.0
DFT total energy (eV per atom): -5.5029
Formation energy (no corrections) (eV per atom): -1.371

***

# NaMgZn10

A relaxed NaMgZn10 crystal (PBE, Alexandria).

a = 4.3128 Å, b = 5.2306 Å, c = 9.0627 Å
α = 90.00°, β = 90.00°, γ = 90.00°
Atoms (fractional coordinates):
1 Na 0.0000 0.0000 0.0000
2 Mg 0.0000 0.5000 0.5000
3 Zn 0.0000 0.0000 0.3385
4 Zn 0.0000 0.5000 0.8290
5 Zn 0.0000 0.5000 0.1710
6 Zn 0.0000 0.0000 0.6615
7 Zn 0.5000 0.0000 0.5000
8 Zn 0.5000 0.5000 0.0000
9 Zn 0.5000 0.2501 0.2515
10 Zn 0.5000 0.7499 0.7485
11 Zn 0.5000 0.7499 0.2515
12 Zn 0.5000 0.2501 0.7485

Summary:
ΔH_f (0 K) (kJ/mol of formula units): -24
Total moment (Bohr magnetons per cell): 0.0
DFT total energy (eV per atom): -1.3249

***

# Bi4Pb3Se8

A relaxed Bi4Pb3Se8 crystal (PBE, Alexandria).

a = 8.5910 Å, b = 8.6424 Å, c = 8.6424 Å
α = 90.53°, β = 119.35°, γ = 119.35°
Atoms (fractional coordinates):
1 Bi 0.5000 0.0000 0.0000
2 Bi 0.0000 0.5000 0.0000
3 Bi 0.0000 0.0000 0.0000
4 Bi 0.0000 0.0000 0.5000
5 Pb 0.5000 0.5000 0.0000
6 Pb 0.5000 0.0000 0.5000
7 Pb 0.5000 0.5000 0.5000
8 Se 0.4846 0.2378 0.2378
9 Se 0.0000 0.7564 0.2436
10 Se 0.9898 0.2410 0.2410
11 Se 0.5000 0.7542 0.2458
12 Se 0.5000 0.2458 0.7542
13 Se 0.0102 0.7590 0.7590
14 Se 0.0000 0.2436 0.7564
15 Se 0.5154 0.7622 0.7622

Summary:
Total moment (Bohr magnetons per cell): 0.0
DFT total energy (eV per atom): -4.0211
Formation energy (no corrections) (eV per atom): -0.386

***

# BaMg2HgPt

A relaxed BaMg2HgPt crystal (PBE, Alexandria).

a = 5.1043 Å, b = 5.1043 Å, c = 5.4282 Å
α = 90.00°, β = 90.00°, γ = 90.00°
Atoms (fractional coordinates):
1 Mg 0.0000 0.5000 0.0000
2 Mg 0.5000 0.0000 0.0000
3 Hg 0.0000 0.0000 0.5000
4 Pt 0.0000 0.0000 0.0000
5 Ba 0.5000 0.5000 0.5000

Summary:
Relative energy among the computed polymorphs (eV per atom): 0.000
ΔH_f (0 K) (kJ/mol of formula units): -209
Total moment (Bohr magnetons per cell): 0.0
DFT total energy (eV per atom): -2.7233

***

# NbReTe2

A relaxed NbReTe2 crystal (PBE, Alexandria).

a = 6.1591 Å, b = 6.1591 Å, c = 7.5357 Å
α = 65.88°, β = 65.88°, γ = 90.00°
Site moments in Bohr magnetons follow the coordinates.
Atoms (fractional coordinates):
1 Re 0.0000 0.0000 0.0000  0.15
2 Re 0.7500 0.2500 0.5000  0.15
3 Nb 0.5000 0.5000 0.0000  1.51
4 Nb 0.2500 0.7500 0.5000  1.52
5 Te 0.6495 0.1250 0.2500  -0.03
6 Te 0.1005 0.6250 0.2500  -0.03
7 Te 0.3750 0.3505 0.7500  -0.03
8 Te 0.8750 0.8995 0.7500  -0.03

Summary:
Relative energy among the computed polymorphs (eV per atom): 0.471
Total moment (Bohr magnetons per cell): 4.0
DFT total energy (eV per atom): -6.3350
Formation energy (no corrections) (eV per atom): 0.865

***

# RbMnPt

A relaxed RbMnPt crystal (PBE, Alexandria).

a = 12.9940 Å, b = 3.0599 Å, c = 3.9293 Å
α = 90.00°, β = 97.52°, γ = 96.02°
Atoms (fractional coordinates):
1 Mn 0.5536 0.2738 0.0230
2 Mn 0.4464 0.7262 0.9770
3 Rb 0.8123 0.3894 0.1356
4 Rb 0.1877 0.6106 0.8644
5 Pt 0.6158 0.8016 0.5499
6 Pt 0.3842 0.1984 0.4501

Summary:
Relative energy among the computed polymorphs (eV per atom): 0.245
ΔH_f (0 K) (kJ/mol of formula units): 80
Total moment (Bohr magnetons per cell): 0.0
DFT total energy (eV per atom): -5.1157

***

# Ce2ZnSb4

A relaxed Ce2ZnSb4 crystal (PBE, Alexandria).

a = 4.3993 Å, b = 4.3993 Å, c = 9.8932 Å
α = 90.00°, β = 90.00°, γ = 90.00°
Site moments in Bohr magnetons follow the coordinates.
Atoms (fractional coordinates):
1 Ce 0.5000 0.0000 0.7485  0.67
2 Ce 0.0000 0.5000 0.2515  0.67
3 Zn 0.5000 0.5000 0.5000  0.00
4 Sb 0.5000 0.5000 0.0000  -0.01
5 Sb 0.0000 0.0000 0.0000  -0.01
6 Sb 0.5000 0.0000 0.3406  -0.02
7 Sb 0.0000 0.5000 0.6594  -0.02

Summary:
Total moment (Bohr magnetons per cell): 1.4
DFT total energy (eV per atom): -4.9363
Formation energy (no corrections) (eV per atom): -0.703

***

# LiBiAs

A relaxed LiBiAs crystal (PBE, Alexandria).

a = 4.5963 Å, b = 4.5963 Å, c = 4.5963 Å
α = 60.00°, β = 60.00°, γ = 60.00°
Atoms (fractional coordinates):
1 As 0.5000 0.5000 0.5000
2 Bi 0.0000 0.0000 0.0000
3 Li 0.2500 0.2500 0.2500

Summary:
Relative energy among the computed polymorphs (eV per atom): 0.026
ΔH_f (0 K) (kJ/mol of formula units): -38
Total moment (Bohr magnetons per cell): 0.0
DFT total energy (eV per atom): -3.6130

***

# Cs2PuSO6

A relaxed Cs2PuSO6 crystal (PBE, Alexandria).

a = 5.6506 Å, b = 5.6508 Å, c = 7.0464 Å
α = 66.36°, β = 66.37°, γ = 90.00°
Site moments in Bohr magnetons follow the coordinates.
Atoms (fractional coordinates):
1 Cs 0.7500 0.2500 0.4999  0.00
2 Cs 0.2500 0.7500 0.5000  0.00
3 Pu 0.0000 0.0000 0.0000  2.34
4 S 0.5000 0.5000 0.0000  -0.01
5 O 0.1609 0.1609 0.6781  -0.09
6 O 0.7208 0.7207 0.0000  -0.07
7 O 0.2793 0.7208 0.0000  -0.07
8 O 0.7207 0.2792 0.0000  -0.07
9 O 0.2792 0.2793 0.0000  -0.07
10 O 0.8391 0.8391 0.3219  -0.09

Summary:
Total moment (Bohr magnetons per cell): 1.8
DFT total energy (eV per atom): -6.6588
Formation energy (no corrections) (eV per atom): -1.667

***

# ZnSb2Os

A relaxed ZnSb2Os crystal (PBE, Alexandria).

a = 4.7922 Å, b = 4.7922 Å, c = 4.7922 Å
α = 60.00°, β = 60.00°, γ = 60.00°
Atoms (fractional coordinates):
1 Os 0.5000 0.5000 0.5000
2 Sb 0.0000 0.0000 0.0000
3 Sb 0.2500 0.2500 0.2500
4 Zn 0.7500 0.7500 0.7500

Summary:
Total moment (Bohr magnetons per cell): 0.0
DFT total energy (eV per atom): -4.4666
Formation energy (no corrections) (eV per atom): 0.720

***

# GeI2NO

A relaxed GeI2NO crystal (PBE, Alexandria).

a = 6.0134 Å, b = 6.0134 Å, c = 3.6151 Å
α = 90.00°, β = 90.00°, γ = 90.00°
Site moments in Bohr magnetons follow the coordinates.
Atoms (fractional coordinates):
1 I 0.0000 0.5000 0.0000  0.00
2 I 0.5000 0.0000 0.0000  0.00
3 Ge 0.0000 0.0000 0.0000  0.00
4 O 0.0000 0.0000 0.5000  0.00
5 N 0.5000 0.5000 0.5000  1.85

Summary:
Relative energy among the computed polymorphs (eV per atom): 0.000
Total moment (Bohr magnetons per cell): 2.8
DFT total energy (eV per atom): -3.4036
Formation energy (no corrections) (eV per atom): 0.797